Record 1
Entry from Alexandria via LeMat-Bulk: a relaxed TlSiBr2 crystal (GGA-PBE).

Cell and atoms, written as POSCAR:
```
TlSiBr2
1.0
4.018 0.000 0.000
0.000 6.391 0.000
0.000 0.000 4.555
Br Tl Si
2 1 1
direct
0.000 0.000 0.000
0.500 0.500 0.000
0.000 0.500 0.500
0.500 0.000 0.500
```

Output
The uncorrected formation energy is 9 kJ/mol of atoms. The volume is 117.0 Å³/f.u. The value obtained for the offset from the most stable computed form is 0.280 eV/atom. Its density of states at the Fermi level is 0.572 states/eV per atom.

Record 2
Entry from Alexandria via LeMat-Bulk: a relaxed TlSi2Br crystal (GGA-PBE).

Cell and atoms, written as POSCAR:
```
TlSi2Br
1.0
-1.661 1.514 2.327
-0.996 -2.942 -0.905
5.811 -4.054 6.784
Br Si Tl
1 2 1
direct
0.500 0.500 0.750
0.000 0.000 0.521
0.000 0.000 0.979
0.500 0.500 0.250
```

Output
The uncorrected formation energy is 62 kJ/mol of atoms. The volume is 90.7 Å³/f.u. The value obtained for the offset from the most stable computed form is 0.657 eV/atom. Its density of states at the Fermi level is 0.510 states/eV per atom.

Record 3
Entry from Alexandria via LeMat-Bulk: a relaxed TlSi2Br crystal (GGA-PBE).

Cell and atoms, written as POSCAR:
```
TlSi2Br
1.0
3.418 0.000 0.000
0.000 3.418 0.000
0.000 0.000 8.863
Si Tl Br
2 1 1
direct
0.000 0.000 0.145
0.500 0.500 0.065
0.000 0.000 0.487
0.500 0.500 0.803
```

Output
The uncorrected formation energy is 13 kJ/mol of atoms. The volume is 103.6 Å³/f.u. The value obtained for the offset from the most stable computed form is 0.148 eV/atom. Its density of states at the Fermi level is 0.233 states/eV per atom.

Record 4
Entry from Alexandria via LeMat-Bulk: a relaxed TlSiBr2 crystal (GGA-PBE).

Cell and atoms, written as POSCAR:
```
TlSiBr2
1.0
-5.501 0.594 -3.092
-6.323 -0.377 0.212
-2.293 5.713 1.109
Tl Br Si
1 2 1
direct
0.194 0.194 0.197
0.756 0.756 0.670
0.979 0.979 0.993
0.571 0.571 0.639
```

Output
The uncorrected formation energy is -15 kJ/mol of atoms. The volume is 127.2 Å³/f.u. The value obtained for the offset from the most stable computed form is 0.029 eV/atom. Its density of states at the Fermi level is 0.377 states/eV per atom.

Record 5
Entry from Alexandria via LeMat-Bulk: a relaxed TlSiBr2 crystal (GGA-PBE).

Cell and atoms, written as POSCAR:
```
TlSiBr2
1.0
-4.436 3.793 1.823
-3.846 -2.580 -3.993
-6.479 -4.929 4.744
Br Tl Si
4 2 2
direct
0.547 0.125 0.250
0.203 0.625 0.250
0.875 0.797 0.750
0.375 0.453 0.750
0.750 0.250 0.500
0.000 0.000 0.000
0.250 0.750 0.500
0.500 0.500 0.000
```

Output
The uncorrected formation energy is 1 kJ/mol of atoms. The volume is 156.5 Å³/f.u. The value obtained for the offset from the most stable computed form is 0.196 eV/atom. Its density of states at the Fermi level is 0.326 states/eV per atom.

Record 6
Entry from Alexandria via LeMat-Bulk: a relaxed TlSi2Br crystal (GGA-PBE).

Cell and atoms, written as POSCAR:
```
TlSi2Br
1.0
-0.637 -0.017 -3.423
2.701 -2.068 0.742
-5.359 -6.630 1.030
Tl Br Si
1 1 2
direct
0.000 0.000 0.494
0.500 0.500 0.772
0.500 0.500 0.192
0.000 0.000 0.043
```

Output
The uncorrected formation energy is 29 kJ/mol of atoms. The volume is 97.6 Å³/f.u. The value obtained for the offset from the most stable computed form is 0.316 eV/atom. Its density of states at the Fermi level is 0.288 states/eV per atom.

Record 7
Entry from Alexandria via LeMat-Bulk: a relaxed TlSiBr2 crystal (GGA-PBE).

Cell and atoms, written as POSCAR:
```
TlSiBr2
1.0
10.259 -0.044 -0.026
9.607 3.600 -0.026
9.607 1.720 3.162
Br Tl Si
2 1 1
direct
0.012 0.012 0.012
0.233 0.233 0.233
0.747 0.747 0.747
0.507 0.507 0.507
```

Output
The uncorrected formation energy is 6 kJ/mol of atoms. The volume is 119.0 Å³/f.u. The value obtained for the offset from the most stable computed form is 0.244 eV/atom. Its density of states at the Fermi level is 0.777 states/eV per atom.

Record 8
Entry from Alexandria via LeMat-Bulk: a relaxed TlSiBr crystal (GGA-PBE).

Cell and atoms, written as POSCAR:
```
TlSiBr
1.0
6.438 -0.046 0.029
3.824 5.180 -0.029
-4.975 -2.878 2.901
Tl Br Si
1 1 1
direct
0.260 0.260 0.000
0.974 0.974 0.000
0.767 0.767 0.000
```

Output
The uncorrected formation energy is 7 kJ/mol of atoms. The volume is 97.1 Å³/f.u. The value obtained for the offset from the most stable computed form is 0.270 eV/atom. Its density of states at the Fermi level is 0.318 states/eV per atom.

Record 9
Entry from Alexandria via LeMat-Bulk: a relaxed TlSiBr2 crystal (GGA-PBE).

Cell and atoms, written as POSCAR:
```
TlSiBr2
1.0
3.601 0.000 0.000
0.000 4.500 0.000
0.000 0.000 7.965
Si Br Tl
1 2 1
direct
0.000 0.000 0.341
0.500 0.500 0.352
0.000 0.000 0.042
0.500 0.500 0.765
```

Output
The uncorrected formation energy is -10 kJ/mol of atoms. The volume is 129.1 Å³/f.u. The value obtained for the offset from the most stable computed form is 0.083 eV/atom. Its density of states at the Fermi level is 0.357 states/eV per atom.

Record 10
Entry from Alexandria via LeMat-Bulk: a relaxed TlSiBr crystal (GGA-PBE).

Cell and atoms, written as POSCAR:
```
TlSiBr
1.0
3.476 0.000 0.000
-1.738 3.010 0.000
0.000 0.000 7.420
Tl Si Br
1 1 1
direct
0.333 0.667 0.635
0.667 0.333 0.311
0.000 0.000 0.055
```

Output
The uncorrected formation energy is 28 kJ/mol of atoms. The volume is 77.6 Å³/f.u. The value obtained for the offset from the most stable computed form is 0.485 eV/atom. Its density of states at the Fermi level is 0.537 states/eV per atom.

Record 11
Entry from Alexandria via LeMat-Bulk: a relaxed TlSi2Br crystal (GGA-PBE).

Cell and atoms, written as POSCAR:
```
TlSi2Br
1.0
-5.363 8.175 -1.793
-7.298 5.928 -3.227
-7.537 6.481 0.012
Si Br Tl
2 1 1
direct
0.008 0.008 0.008
0.492 0.492 0.492
0.750 0.750 0.750
0.250 0.250 0.250
```

Output
The uncorrected formation energy is 64 kJ/mol of atoms. The volume is 91.7 Å³/f.u. The value obtained for the offset from the most stable computed form is 0.680 eV/atom. Its density of states at the Fermi level is 0.537 states/eV per atom.

Record 12
Entry from Alexandria via LeMat-Bulk: a relaxed TlSi2Br crystal (GGA-PBE).

Cell and atoms, written as POSCAR:
```
TlSi2Br
1.0
-0.719 -1.718 4.655
-2.962 -3.971 0.777
1.997 -4.384 1.391
Si Tl Br
2 1 1
direct
0.750 0.750 0.750
0.250 0.250 0.250
0.500 0.500 0.500
0.000 0.000 0.000
```

Output
The uncorrected formation energy is 71 kJ/mol of atoms. The volume is 89.1 Å³/f.u. The value obtained for the offset from the most stable computed form is 0.746 eV/atom. Its density of states at the Fermi level is 0.614 states/eV per atom.